{
  "formula": "NaHoW2O8",
  "functional": "PBE+U",
  "state": "optimized geometry",
  "total_energy_ev_per_cell": -87.72,
  "vol_a3_per_cell": 182,
  "lattice": [[-3.707, 3.707, 3.307], [3.707, -3.707, 3.307], [3.707, 3.707, -3.307]],
  "species": ["Na", "Ho", "W", "W", "O", "O", "O", "O", "O", "O", "O", "O"],
  "fractional_positions": [[0.000, 0.000, 0.000], [0.750, 0.250, 0.500], [0.250, 0.750, 0.500], [0.500, 0.500, 0.000], [0.071, 0.385, 0.314], [0.071, 0.757, 0.686], [0.142, 0.341, 0.800], [0.243, 0.929, 0.314], [0.541, 0.341, 0.200], [0.615, 0.929, 0.686], [0.659, 0.459, 0.800], [0.659, 0.858, 0.200]]
}